--- a ---
Below is crystalline CsCr2CoH at its relaxed geometry, with properties calculated at the PBE level.

The structure belongs to space group P4/mmm (No. 123); the cell edges are 5.5304, 5.5304 and 3.7160 Å and the angles 90.00°, 90.00° and 90.00°. Symmetry generates all atoms from Cs at (0.0000, 0.0000, 0.0000), Cr at (0.0000, 0.5000, 0.0000), Co at (0.5000, 0.5000, 0.5000) and H at (0.0000, 0.0000, 0.5000).

As for the crystal system: tetragonal. The total moment is 9.6 μB per cell.

--- b ---
Below is crystalline CsCr2CoH at its relaxed geometry, with properties calculated at the PBE level.

The structure belongs to space group P4/mmm (No. 123); the cell edges are 6.4132, 6.4132 and 5.0568 Å and the angles 90.00°, 90.00° and 90.00°. Symmetry generates all atoms from Cs at (0.0000, 0.0000, 0.0000), Cr at (0.0000, 0.5000, 0.0000), Co at (0.0000, 0.0000, 0.5000) and H at (0.5000, 0.5000, 0.5000).

As for the crystal system: tetragonal. The total moment is 12.1 μB per cell.

What is the least stable structure shown above? It is b.